[1]
DFT (PBE) results for a relaxed InReN2F crystal.

## Properties
Offset from the most stable computed form: 1477 meV/atom
Crystal system: tetragonal
DOS(E_F): 2.4 states/eV/cell
ΔE_f (raw): 7.0 eV per formula unit

Cell: 4.2467 4.2467 4.0459 Å, 90.00 90.00 90.00°
Positions (direct):
Re1 0.5000 0.5000 0.5000
N1 0.0000 0.5000 0.0000
N2 0.5000 0.0000 0.0000
F1 0.0000 0.0000 0.5000
In1 0.0000 0.0000 0.0000

---

[2]
DFT (PBE) results for a relaxed InReNF2 crystal.

## Properties
Offset from the most stable computed form: 927 meV/atom
Crystal system: tetragonal
DOS(E_F): 0.7 states/eV/cell
ΔE_f (raw): 1.5 eV per formula unit

Cell: 4.1842 4.1842 4.3961 Å, 90.00 90.00 90.00°
Positions (direct):
Re1 0.5000 0.5000 0.5000
N1 0.0000 0.0000 0.5000
F1 0.0000 0.5000 0.0000
F2 0.5000 0.0000 0.0000
In1 0.0000 0.0000 0.0000

---

[3]
DFT (PBE) results for a relaxed InReN2F crystal.

## Properties
Offset from the most stable computed form: 0 meV/atom
Crystal system: tetragonal
DOS(E_F): 3.0 states/eV/cell
ΔE_f (raw): -0.4 eV per formula unit

Cell: 3.9277 3.9277 4.3847 Å, 90.00 90.00 90.00°
Positions (direct):
Re1 0.0000 0.0000 0.0000
N1 0.0000 0.5000 0.0000
N2 0.5000 0.0000 0.0000
F1 0.0000 0.0000 0.5000
In1 0.5000 0.5000 0.5000

---

[4]
DFT (PBE) results for a relaxed InS2NF crystal.

## Properties
Offset from the most stable computed form: 0 meV/atom
Crystal system: tetragonal
DOS(E_F): 2.3 states/eV/cell
ΔE_f (raw): 5.3 eV per formula unit

Cell: 5.2415 5.2415 4.1550 Å, 90.00 90.00 90.00°
Positions (direct):
N1 0.0000 0.0000 0.5000
S1 0.0000 0.5000 0.0000
S2 0.5000 0.0000 0.0000
F1 0.5000 0.5000 0.5000
In1 0.0000 0.0000 0.0000

---

[5]
DFT (PBE) results for a relaxed InSNF2 crystal.

## Properties
Offset from the most stable computed form: 173 meV/atom
Crystal system: tetragonal
DOS(E_F): 0.7 states/eV/cell
ΔE_f (raw): -0.7 eV per formula unit

Cell: 4.1663 4.1663 4.5262 Å, 90.00 90.00 90.00°
Positions (direct):
N1 0.0000 0.0000 0.5000
S1 0.5000 0.5000 0.5000
F1 0.0000 0.5000 0.0000
F2 0.5000 0.0000 0.0000
In1 0.0000 0.0000 0.0000

---

[6]
DFT (PBE) results for a relaxed InS2NF crystal.

## Properties
Offset from the most stable computed form: 131 meV/atom
Crystal system: tetragonal
DOS(E_F): 2.9 states/eV/cell
ΔE_f (raw): 5.9 eV per formula unit

Cell: 4.3264 4.3264 4.7704 Å, 90.00 90.00 90.00°
Positions (direct):
N1 0.0000 0.0000 0.5000
S1 0.0000 0.5000 0.0000
S2 0.5000 0.0000 0.0000
F1 0.0000 0.0000 0.0000
In1 0.5000 0.5000 0.5000

---

[7]
DFT (PBE) results for a relaxed InSNF2 crystal.

## Properties
Offset from the most stable computed form: 0 meV/atom
Crystal system: tetragonal
DOS(E_F): 2.3 states/eV/cell
ΔE_f (raw): -1.5 eV per formula unit

Cell: 4.7940 4.7940 3.3267 Å, 90.00 90.00 90.00°
Positions (direct):
N1 0.0000 0.0000 0.5000
S1 0.0000 0.0000 0.0000
F1 0.0000 0.5000 0.0000
F2 0.5000 0.0000 0.0000
In1 0.5000 0.5000 0.5000

---

[8]
DFT (PBE) results for a relaxed In2SNF crystal.

## Properties
Crystal system: tetragonal
DOS(E_F): 1.4 states/eV/cell
ΔE_f (raw): 0.1 eV per formula unit

Cell: 4.5954 4.0151 4.5954 Å, 90.00 90.00 90.00°
Positions (direct):
N1 0.0000 0.0000 0.0000
S1 0.5000 0.5000 0.5000
F1 0.0000 0.5000 0.0000
In1 0.0000 0.0000 0.5000
In2 0.5000 0.0000 0.0000

---

[9]
DFT (PBE) results for a relaxed InSbNF2 crystal.

## Properties
Offset from the most stable computed form: 188 meV/atom
Crystal system: tetragonal
DOS(E_F): 1.5 states/eV/cell
ΔE_f (raw): -2.9 eV per formula unit

Cell: 4.2895 4.2895 4.2787 Å, 90.00 90.00 90.00°
Positions (direct):
Sb1 0.5000 0.5000 0.5000
N1 0.0000 0.0000 0.5000
F1 0.0000 0.5000 0.0000
F2 0.5000 0.0000 0.0000
In1 0.0000 0.0000 0.0000

---

[10]
DFT (PBE) results for a relaxed InSbNF2 crystal.

## Properties
Offset from the most stable computed form: 0 meV/atom
Crystal system: tetragonal
DOS(E_F): 0.0 states/eV/cell
ΔE_f (raw): -3.8 eV per formula unit

Cell: 4.6587 4.6587 4.0526 Å, 90.00 90.00 90.00°
Positions (direct):
Sb1 0.0000 0.0000 0.0000
N1 0.0000 0.0000 0.5000
F1 0.0000 0.5000 0.0000
F2 0.5000 0.0000 0.0000
In1 0.5000 0.5000 0.5000

---

[11]
DFT (PBE) results for a relaxed ScInN2F crystal.

## Properties
Offset from the most stable computed form: 0 meV/atom
Crystal system: tetragonal
DOS(E_F): 3.1 states/eV/cell
ΔE_f (raw): -2.7 eV per formula unit

Cell: 4.2480 4.2480 3.9724 Å, 90.00 90.00 90.00°
Positions (direct):
Sc1 0.0000 0.0000 0.0000
N1 0.0000 0.5000 0.0000
N2 0.5000 0.0000 0.0000
F1 0.0000 0.0000 0.5000
In1 0.5000 0.5000 0.5000

---

[12]
DFT (PBE) results for a relaxed ScInN2F crystal.

## Properties
Offset from the most stable computed form: 405 meV/atom
Crystal system: tetragonal
DOS(E_F): 2.5 states/eV/cell
ΔE_f (raw): -0.7 eV per formula unit

Cell: 4.2236 4.2236 4.1508 Å, 90.00 90.00 90.00°
Positions (direct):
Sc1 0.5000 0.5000 0.5000
N1 0.0000 0.5000 0.0000
N2 0.5000 0.0000 0.0000
F1 0.0000 0.0000 0.5000
In1 0.0000 0.0000 0.0000